No. 1
Density functional theory data (PBE-GGA) for a geometry-optimized KMn2Cl structure.

## Properties
SG = Pmmm (47)
Energy relative to the lowest polymorph listed for this composition = 462 meV per atom
Crystal system = orthorhombic
ΔE_f (raw) = 0.5124 eV/atom

a = 3.1748 Å, b = 6.1577 Å, c = 5.5839 Å
α = 90.00°, β = 90.00°, γ = 90.00°
Positions (direct):
Mn 0.0000 0.0000 0.0012
Mn 0.0000 0.0000 0.4988
K 0.5000 0.5000 0.7500
Cl 0.5000 0.5000 0.2500

---

No. 2
Density functional theory data (PBE-GGA) for a geometry-optimized Ti3Tl3CrS8 structure.

## Properties
SG = C2/m (12)
Crystal system = monoclinic
ΔE_f (raw) = -0.9580 eV/atom

a = 6.9192 Å, b = 6.9279 Å, c = 8.9391 Å
α = 113.00°, β = 90.00°, γ = 119.96°
Positions (direct):
S 0.7260 0.4519 0.6767
S 0.2697 0.0460 0.3235
S 0.7763 0.0460 0.3235
Cr 0.0000 0.0000 0.5000
Tl 0.5000 0.5000 0.0000
Ti 0.5000 0.0000 0.5000
S 0.7303 0.9540 0.6765
Ti 0.5000 0.5000 0.5000
S 0.2236 0.4473 0.6764
Ti 0.0000 0.5000 0.5000
S 0.7764 0.5527 0.3236
S 0.2740 0.5481 0.3233
Tl 0.0000 0.0000 0.0000
Tl 0.0000 0.5000 0.0000
S 0.2237 0.9540 0.6765

---

No. 3
Density functional theory data (PBE-GGA) for a geometry-optimized NaGa4PdPt2 structure.

## Properties
SG = R-3m (166)
Formation enthalpy at 0 K = -465 meV/atom
Crystal system = trigonal

a = 4.4695 Å, b = 4.4695 Å, c = 7.7805 Å
α = 73.31°, β = 73.31°, γ = 60.00°
Positions (direct):
Na 0.0000 0.0000 0.0000
Pt 0.2546 0.2546 0.2363
Pd 0.5000 0.5000 0.5000
Pt 0.7454 0.7454 0.7637
Ga 0.6198 0.6198 0.1405
Ga 0.8698 0.8698 0.3907
Ga 0.3802 0.3802 0.8595
Ga 0.1302 0.1302 0.6093

---

Ordered total magnetic moment results: 9.06; 2.26; 0.00; unit μB per formula unit.